Below is NaZrBPb2 after structural relaxation, with properties calculated at the PBE level.

spin magnetization: 0.00 μB per formula unit
symmetry: No. 123
electronic total energy: -21.8 eV for the cell shown

```
NaZrBPb2
1.0
5.164 0.000 0.000
0.000 5.164 0.000
0.000 0.000 4.618
Na Zr B Pb
1 1 1 2
Direct
0.000 0.000 0.000
0.500 0.500 0.000
0.500 0.500 0.500
0.000 0.500 0.500
0.500 0.000 0.500
```